[1]
# SmC2 | Alexandria via LeMat-Bulk | GGA-PBE | optimized geometry
data_SmC2
_chemical_formula_sum 'Sm2 C4'
_space_group_name_H-M_alt 'P 42/m n m'
_space_group_IT_number 136
_space_group_name_Hall '-P 4n 2n'
_cell_length_a 4.397
_cell_length_b 4.397
_cell_length_c 5.186
_cell_angle_alpha 90.00
_cell_angle_beta 90.00
_cell_angle_gamma 90.00
loop_
_atom_site_label
_atom_site_type_symbol
_atom_site_fract_x
_atom_site_fract_y
_atom_site_fract_z
Sm1 Sm 0.000 0.000 0.000
C1 C 0.103 0.103 0.500
# DOS(E_F): 2.2 states/eV per cell
# size of the total moment: 0.0 μB per cell
# polymorph energy (0 for the lowest one): 136 meV/atom
# formation enthalpy at 0 K: -0.018 eV/atom

=====

[2]
# YTl2SiTc | Alexandria via LeMat-Bulk | GGA-PBE | optimized geometry
data_YTl2SiTc
_chemical_formula_sum 'Y1 Tl2 Si1 Tc1'
_space_group_name_H-M_alt 'P 4/m m m'
_space_group_IT_number 123
_space_group_name_Hall '-P 4 2'
_cell_length_a 5.199
_cell_length_b 5.199
_cell_length_c 4.599
_cell_angle_alpha 90.00
_cell_angle_beta 90.00
_cell_angle_gamma 90.00
loop_
_atom_site_label
_atom_site_type_symbol
_atom_site_fract_x
_atom_site_fract_y
_atom_site_fract_z
Y1 Y 0.000 0.000 0.000
Tl1 Tl 0.000 0.500 0.500
Si1 Si 0.500 0.500 0.500
Tc1 Tc 0.500 0.500 0.000
# formation energy from raw total energies: 2.76 eV per formula unit
# DOS(E_F): 5.0 states/eV per cell
# size of the total moment: 0.8 μB per cell

=====

[3]
# Cu3Pb2 | Alexandria via LeMat-Bulk | GGA-PBE | optimized geometry
data_Cu3Pb2
_chemical_formula_sum 'Cu9 Pb6'
_space_group_name_H-M_alt 'R -3 m'
_space_group_IT_number 166
_space_group_name_Hall '-R 3 2"'
_cell_length_a 4.3203
_cell_length_b 4.3203
_cell_length_c 18.1877
_cell_angle_alpha 90.00
_cell_angle_beta 90.00
_cell_angle_gamma 120.00
loop_
_atom_site_label
_atom_site_type_symbol
_atom_site_fract_x
_atom_site_fract_y
_atom_site_fract_z
Cu1 Cu 0.0000 0.0000 0.0000
Cu2 Cu 0.0000 0.0000 0.1475
Pb1 Pb 0.0000 0.0000 0.4083
# DOS(E_F): 4.3 states/eV per cell
# size of the total moment: 0.0 μB per cell
# polymorph energy (0 for the lowest one): 0 meV/atom
# formation enthalpy at 0 K: 0.211 eV/atom

=====

[4]
# DyZrAg4 | Alexandria via LeMat-Bulk | GGA-PBE | optimized geometry
data_DyZrAg4
_chemical_formula_sum 'Dy1 Zr1 Ag4'
_space_group_name_H-M_alt 'P 4/m m m'
_space_group_IT_number 123
_space_group_name_Hall '-P 4 2'
_cell_length_a 3.642
_cell_length_b 3.642
_cell_length_c 9.234
_cell_angle_alpha 90.00
_cell_angle_beta 90.00
_cell_angle_gamma 90.00
loop_
_atom_site_label
_atom_site_type_symbol
_atom_site_fract_x
_atom_site_fract_y
_atom_site_fract_z
Dy1 Dy 0.000 0.000 0.000
Zr1 Zr 0.500 0.500 0.500
Ag1 Ag 0.000 0.000 0.335
Ag2 Ag 0.500 0.500 0.178
# DOS(E_F): 2.7 states/eV per cell
# size of the total moment: 0.5 μB per cell
# formation enthalpy at 0 K: -0.170 eV/atom

=====

[5]
# Pr3ErSb4 | Alexandria via LeMat-Bulk | GGA-PBE | optimized geometry
data_Pr3ErSb4
_chemical_formula_sum 'Pr6 Er2 Sb8'
_space_group_name_H-M_alt 'C m m m'
_space_group_IT_number 65
_space_group_name_Hall '-C 2 2'
_cell_length_a 9.012
_cell_length_b 12.750
_cell_length_c 4.512
_cell_angle_alpha 90.00
_cell_angle_beta 90.00
_cell_angle_gamma 90.00
loop_
_atom_site_label
_atom_site_type_symbol
_atom_site_fract_x
_atom_site_fract_y
_atom_site_fract_z
Pr1 Pr 0.000 0.000 0.000
Pr2 Pr 0.250 0.250 0.500
Er1 Er 0.000 0.500 0.000
Sb1 Sb 0.000 0.254 0.000
Sb2 Sb 0.241 0.500 0.500
# formation energy from raw total energies: -9.26 eV per formula unit
# DOS(E_F): 1.9 states/eV per cell
# size of the total moment: 0.0 μB per cell

=====

[6]
# NiPRu2 | Alexandria via LeMat-Bulk | GGA-PBE | optimized geometry
data_NiPRu2
_chemical_formula_sum 'Ni3 P3 Ru6'
_space_group_name_H-M_alt 'R -3 m'
_space_group_IT_number 166
_space_group_name_Hall '-R 3 2"'
_cell_length_a 2.7859
_cell_length_b 2.7859
_cell_length_c 23.3163
_cell_angle_alpha 90.00
_cell_angle_beta 90.00
_cell_angle_gamma 120.00
loop_
_atom_site_label
_atom_site_type_symbol
_atom_site_fract_x
_atom_site_fract_y
_atom_site_fract_z
Ni1 Ni 0.0000 0.0000 0.0000
P1 P 0.0000 0.0000 0.5000
Ru1 Ru 0.0000 0.0000 0.2425
# DOS(E_F): 16.0 states/eV per cell
# size of the total moment: 2.2 μB per cell
# formation enthalpy at 0 K: -0.008 eV/atom

=====

[7]
# KLiIn2Cu | Alexandria via LeMat-Bulk | GGA-PBE | optimized geometry
data_KLiIn2Cu
_chemical_formula_sum 'K1 Li1 In2 Cu1'
_space_group_name_H-M_alt 'P 4/m m m'
_space_group_IT_number 123
_space_group_name_Hall '-P 4 2'
_cell_length_a 5.085
_cell_length_b 5.085
_cell_length_c 5.294
_cell_angle_alpha 90.00
_cell_angle_beta 90.00
_cell_angle_gamma 90.00
loop_
_atom_site_label
_atom_site_type_symbol
_atom_site_fract_x
_atom_site_fract_y
_atom_site_fract_z
K1 K 0.000 0.000 0.000
Li1 Li 0.500 0.500 0.000
In1 In 0.000 0.500 0.500
Cu1 Cu 0.500 0.500 0.500
# DOS(E_F): 2.2 states/eV per cell
# size of the total moment: 0.0 μB per cell
# formation enthalpy at 0 K: 0.001 eV/atom

=====

[8]
# GaFe3H | Alexandria via LeMat-Bulk | GGA-PBE | optimized geometry
data_GaFe3H
_chemical_formula_sum 'Ga4 Fe12 H4'
_space_group_name_H-M_alt 'C m c m'
_space_group_IT_number 63
_space_group_name_Hall '-C 2c 2'
_cell_length_a 4.906
_cell_length_b 12.394
_cell_length_c 4.608
_cell_angle_alpha 90.00
_cell_angle_beta 90.00
_cell_angle_gamma 90.00
loop_
_atom_site_label
_atom_site_type_symbol
_atom_site_fract_x
_atom_site_fract_y
_atom_site_fract_z
Ga1 Ga 0.000 0.175 0.250
Fe1 Fe 0.000 0.000 0.000
Fe2 Fe 0.239 0.156 0.750
H1 H 0.000 0.434 0.250
# electronic total energy: -118.2 eV for the cell shown
# DOS(E_F): 17.5 states/eV per cell
# size of the total moment: 29.5 μB per cell

=====

[9]
# BaAgCl2 | Alexandria via LeMat-Bulk | GGA-PBE | optimized geometry
data_BaAgCl2
_chemical_formula_sum 'Ba1 Ag1 Cl2'
_space_group_name_H-M_alt 'P 4/m m m'
_space_group_IT_number 123
_space_group_name_Hall '-P 4 2'
_cell_length_a 3.816
_cell_length_b 3.816
_cell_length_c 10.785
_cell_angle_alpha 90.00
_cell_angle_beta 90.00
_cell_angle_gamma 90.00
loop_
_atom_site_label
_atom_site_type_symbol
_atom_site_fract_x
_atom_site_fract_y
_atom_site_fract_z
Ba1 Ba 0.000 0.000 0.000
Ag1 Ag 0.000 0.000 0.500
Cl1 Cl 0.500 0.500 0.156
# formation energy from raw total energies: -5.01 eV per formula unit
# DOS(E_F): 0.6 states/eV per cell
# size of the total moment: 0.0 μB per cell
# polymorph energy (0 for the lowest one): 65 meV/atom

=====

[10]
# ScTi2Ge2 | Alexandria via LeMat-Bulk | GGA-PBE | optimized geometry
data_ScTi2Ge2
_chemical_formula_sum 'Sc4 Ti8 Ge8'
_space_group_name_H-M_alt 'C 1 2/c 1'
_space_group_IT_number 15
_cell_length_a 8.696
_cell_length_b 10.161
_cell_length_c 5.260
_cell_angle_alpha 90.00
_cell_angle_beta 121.95
_cell_angle_gamma 90.00
loop_
_space_group_symop_operation_xyz
'x,y,z'
'-x,-y,-z'
'-x,y,-z+1/2'
'x,-y,z+1/2'
'x+1/2,y+1/2,z'
'-x+1/2,-y+1/2,-z'
'-x+1/2,y+1/2,-z+1/2'
'x+1/2,-y+1/2,z+1/2'
loop_
_atom_site_label
_atom_site_type_symbol
_atom_site_fract_x
_atom_site_fract_y
_atom_site_fract_z
Sc1 Sc 0.000 0.101 0.250
Ti1 Ti 0.171 0.400 0.971
Ge1 Ge 0.000 0.176 0.750
Ge2 Ge 0.000 0.374 0.250
# DOS(E_F): 17.0 states/eV per cell
# size of the total moment: 4.5 μB per cell
# polymorph energy (0 for the lowest one): 303 meV/atom
# formation enthalpy at 0 K: -0.324 eV/atom

=====

[11]
# Sc4Sn2H | Alexandria via LeMat-Bulk | GGA-PBE | optimized geometry
data_Sc4Sn2H
_chemical_formula_sum 'Sc8 Sn4 H2'
_space_group_name_H-M_alt 'I 4/m m m'
_space_group_IT_number 139
_space_group_name_Hall '-I 4 2'
_cell_length_a 4.284
_cell_length_b 4.284
_cell_length_c 15.615
_cell_angle_alpha 90.00
_cell_angle_beta 90.00
_cell_angle_gamma 90.00
loop_
_atom_site_label
_atom_site_type_symbol
_atom_site_fract_x
_atom_site_fract_y
_atom_site_fract_z
Sc1 Sc 0.000 0.000 0.173
Sc2 Sc 0.000 0.500 0.000
Sn1 Sn 0.000 0.000 0.362
H1 H 0.000 0.000 0.000
# DOS(E_F): 13.4 states/eV per cell
# size of the total moment: 2.1 μB per cell
# polymorph energy (0 for the lowest one): 7 meV/atom

=====

[12]
# LiGaTeI2 | Alexandria via LeMat-Bulk | GGA-PBE | optimized geometry
data_LiGaTeI2
_chemical_formula_sum 'Li1 Ga1 Te1 I2'
_space_group_name_H-M_alt 'P 4/m m m'
_space_group_IT_number 123
_space_group_name_Hall '-P 4 2'
_cell_length_a 5.827
_cell_length_b 5.827
_cell_length_c 5.420
_cell_angle_alpha 90.00
_cell_angle_beta 90.00
_cell_angle_gamma 90.00
loop_
_atom_site_label
_atom_site_type_symbol
_atom_site_fract_x
_atom_site_fract_y
_atom_site_fract_z
Li1 Li 0.000 0.000 0.000
Ga1 Ga 0.500 0.500 0.500
Te1 Te 0.500 0.500 0.000
I1 I 0.000 0.500 0.500
# formation energy from raw total energies: -1.07 eV per formula unit
# DOS(E_F): 4.4 states/eV per cell
# size of the total moment: 0.0 μB per cell
# polymorph energy (0 for the lowest one): 0 meV/atom

=====

[13]
# YTl3 | Alexandria via LeMat-Bulk | GGA-PBE | optimized geometry
data_YTl3
_chemical_formula_sum 'Y3 Tl9'
_space_group_name_H-M_alt 'R -3 m'
_space_group_IT_number 166
_space_group_name_Hall '-R 3 2"'
_cell_length_a 3.6114
_cell_length_b 3.6114
_cell_length_c 31.8338
_cell_angle_alpha 90.00
_cell_angle_beta 90.00
_cell_angle_gamma 120.00
loop_
_atom_site_label
_atom_site_type_symbol
_atom_site_fract_x
_atom_site_fract_y
_atom_site_fract_z
Y1 Y 0.0000 0.0000 0.0000
Tl1 Tl 0.0000 0.0000 0.2526
Tl2 Tl 0.0000 0.0000 0.5000
# DOS(E_F): 7.9 states/eV per cell
# size of the total moment: 0.0 μB per cell
# formation enthalpy at 0 K: -0.078 eV/atom

=====

[14]
# Sr2LiCa2 | Alexandria via LeMat-Bulk | GGA-PBE | optimized geometry
data_Sr2LiCa2
_chemical_formula_sum 'Sr4 Li2 Ca4'
_space_group_name_H-M_alt 'I 4/m m m'
_space_group_IT_number 139
_space_group_name_Hall '-I 4 2'
_cell_length_a 5.005
_cell_length_b 5.005
_cell_length_c 19.699
_cell_angle_alpha 90.00
_cell_angle_beta 90.00
_cell_angle_gamma 90.00
loop_
_atom_site_label
_atom_site_type_symbol
_atom_site_fract_x
_atom_site_fract_y
_atom_site_fract_z
Sr1 Sr 0.000 0.500 0.250
Li1 Li 0.000 0.000 0.000
Ca1 Ca 0.000 0.000 0.409
# DOS(E_F): 11.3 states/eV per cell
# size of the total moment: 0.0 μB per cell
# polymorph energy (0 for the lowest one): 354 meV/atom
# formation enthalpy at 0 K: 0.372 eV/atom

=====

[15]
# Sm3DyTe | Alexandria via LeMat-Bulk | GGA-PBE | optimized geometry
data_Sm3DyTe
_chemical_formula_sum 'Sm12 Dy4 Te4'
_space_group_name_H-M_alt 'I m a 2'
_space_group_IT_number 46
_cell_length_a 11.184
_cell_length_b 8.070
_cell_length_c 7.869
_cell_angle_alpha 90.00
_cell_angle_beta 90.00
_cell_angle_gamma 90.00
loop_
_space_group_symop_operation_xyz
'x,y,z'
'-x,-y,z'
'-x+1/2,y,z'
'x+1/2,-y,z'
'x+1/2,y+1/2,z+1/2'
'-x+1/2,-y+1/2,z+1/2'
'-x,y+1/2,z+1/2'
'x,-y+1/2,z+1/2'
loop_
_atom_site_label
_atom_site_type_symbol
_atom_site_fract_x
_atom_site_fract_y
_atom_site_fract_z
Sm1 Sm 0.025 0.250 0.000
Sm2 Sm 0.250 0.041 0.250
Dy1 Dy 0.250 0.032 0.750
Te1 Te 0.250 0.750 0.000
# formation energy from raw total energies: -1.50 eV per formula unit
# DOS(E_F): 31.8 states/eV per cell
# size of the total moment: 0.0 μB per cell

=====

[16]
# Tb3CeHg2 | Alexandria via LeMat-Bulk | GGA-PBE | optimized geometry
data_Tb3CeHg2
_chemical_formula_sum 'Tb3 Ce1 Hg2'
_space_group_name_H-M_alt 'P 4/m m m'
_space_group_IT_number 123
_space_group_name_Hall '-P 4 2'
_cell_length_a 3.647
_cell_length_b 3.647
_cell_length_c 12.350
_cell_angle_alpha 90.00
_cell_angle_beta 90.00
_cell_angle_gamma 90.00
loop_
_atom_site_label
_atom_site_type_symbol
_atom_site_fract_x
_atom_site_fract_y
_atom_site_fract_z
Tb1 Tb 0.000 0.000 0.000
Tb2 Tb 0.000 0.000 0.313
Ce1 Ce 0.500 0.500 0.500
Hg1 Hg 0.500 0.500 0.158
# DOS(E_F): 7.5 states/eV per cell
# size of the total moment: 0.4 μB per cell
# polymorph energy (0 for the lowest one): 0 meV/atom
# formation enthalpy at 0 K: -0.290 eV/atom

=====

[17]
# Tm2Sc8Ru | Alexandria via LeMat-Bulk | GGA-PBE | optimized geometry
data_Tm2Sc8Ru
_chemical_formula_sum 'Tm4 Sc16 Ru2'
_space_group_name_H-M_alt 'C 1 2/m 1'
_space_group_IT_number 12
_cell_length_a 17.180
_cell_length_b 5.033
_cell_length_c 6.112
_cell_angle_alpha 90.00
_cell_angle_beta 91.49
_cell_angle_gamma 90.00
loop_
_space_group_symop_operation_xyz
'x,y,z'
'-x,-y,-z'
'-x,y,-z'
'x,-y,z'
'x+1/2,y+1/2,z'
'-x+1/2,-y+1/2,-z'
'-x+1/2,y+1/2,-z'
'x+1/2,-y+1/2,z'
loop_
_atom_site_label
_atom_site_type_symbol
_atom_site_fract_x
_atom_site_fract_y
_atom_site_fract_z
Tm1 Tm 0.231 0.000 0.172
Sc1 Sc 0.035 0.000 0.264
Sc2 Sc 0.078 0.500 0.884
Sc3 Sc 0.146 0.500 0.385
Sc4 Sc 0.157 0.000 0.668
Ru1 Ru 0.000 0.500 0.500
# DOS(E_F): 36.9 states/eV per cell
# size of the total moment: 0.0 μB per cell
# formation enthalpy at 0 K: -0.095 eV/atom

=====

[18]
# Pm8FeSn2 | Alexandria via LeMat-Bulk | GGA-PBE | optimized geometry
data_Pm8FeSn2
_chemical_formula_sum 'Pm16 Fe2 Sn4'
_space_group_name_H-M_alt 'C 1 2/m 1'
_space_group_IT_number 12
_cell_length_a 17.493
_cell_length_b 5.690
_cell_length_c 6.959
_cell_angle_alpha 90.00
_cell_angle_beta 113.43
_cell_angle_gamma 90.00
loop_
_space_group_symop_operation_xyz
'x,y,z'
'-x,-y,-z'
'-x,y,-z'
'x,-y,z'
'x+1/2,y+1/2,z'
'-x+1/2,-y+1/2,-z'
'-x+1/2,y+1/2,-z'
'x+1/2,-y+1/2,z'
loop_
_atom_site_label
_atom_site_type_symbol
_atom_site_fract_x
_atom_site_fract_y
_atom_site_fract_z
Pm1 Pm 0.000 0.000 0.243
Pm2 Pm 0.120 0.500 0.859
Pm3 Pm 0.121 0.500 0.381
Pm4 Pm 0.199 0.000 0.198
Fe1 Fe 0.000 0.500 0.000
Sn1 Sn 0.185 0.000 0.685
# DOS(E_F): 21.7 states/eV per cell
# size of the total moment: 0.0 μB per cell
# formation enthalpy at 0 K: -0.258 eV/atom

=====

[19]
# Al2AgTe | Alexandria via LeMat-Bulk | GGA-PBE | optimized geometry
data_Al2AgTe
_chemical_formula_sum 'Al8 Ag4 Te4'
_space_group_name_H-M_alt 'I -4 2 d'
_space_group_IT_number 122
_space_group_name_Hall 'I -4 2bw'
_cell_length_a 6.386
_cell_length_b 6.386
_cell_length_c 11.283
_cell_angle_alpha 90.00
_cell_angle_beta 90.00
_cell_angle_gamma 90.00
loop_
_atom_site_label
_atom_site_type_symbol
_atom_site_fract_x
_atom_site_fract_y
_atom_site_fract_z
Al1 Al 0.219 0.250 0.125
Ag1 Ag 0.000 0.000 0.000
Te1 Te 0.000 0.000 0.500
# formation energy from raw total energies: 0.64 eV per formula unit
# DOS(E_F): 11.6 states/eV per cell
# size of the total moment: 0.0 μB per cell

=====

[20]
# Ti2InHRh | Alexandria via LeMat-Bulk | GGA-PBE | optimized geometry
data_Ti2InHRh
_chemical_formula_sum 'Ti2 In1 H1 Rh1'
_space_group_name_H-M_alt 'P 4/m m m'
_space_group_IT_number 123
_space_group_name_Hall '-P 4 2'
_cell_length_a 4.116
_cell_length_b 4.116
_cell_length_c 4.063
_cell_angle_alpha 90.00
_cell_angle_beta 90.00
_cell_angle_gamma 90.00
loop_
_atom_site_label
_atom_site_type_symbol
_atom_site_fract_x
_atom_site_fract_y
_atom_site_fract_z
Ti1 Ti 0.000 0.500 0.000
In1 In 0.000 0.000 0.500
H1 H 0.500 0.500 0.000
Rh1 Rh 0.500 0.500 0.500
# electronic total energy: -31.2 eV for the cell shown
# DOS(E_F): 4.5 states/eV per cell
# size of the total moment: 0.0 μB per cell